[1]
Zr5Cu4Re | PBE | optimized geometry

a = 3.299 Å, b = 3.299 Å, c = 16.370 Å
α = 90.00°, β = 90.00°, γ = 90.00°
Site moments in Bohr magnetons follow the coordinates.
Fractional positions:
Zr 0.500 0.500 0.098  0.02
Zr 0.500 0.500 0.300  0.25
Zr 0.500 0.500 0.500  0.20
Zr 0.500 0.500 0.700  0.25
Zr 0.500 0.500 0.902  0.02
Cu 0.000 0.000 0.200  0.04
Cu 0.000 0.000 0.402  0.06
Cu 0.000 0.000 0.598  0.06
Cu 0.000 0.000 0.800  0.04
Re 0.000 0.000 0.000  0.01


[2]
Rb2LaNi | PBE | optimized geometry

a = 13.506 Å, b = 13.506 Å, c = 9.869 Å
α = 46.82°, β = 46.82°, γ = 90.00°
Fractional positions:
Ni 0.500 0.500 0.000
Ni 0.250 0.750 0.500
Rb 0.477 0.125 0.250
Rb 0.273 0.625 0.250
Rb 0.375 0.523 0.750
Rb 0.875 0.727 0.750
La 0.000 0.000 0.000
La 0.750 0.250 0.500


Calculated ΔE_f, -0.1497; 0.5009 eV per atom (same order as the records).
Calculated total DFT energy (no corrections), -7.307; -2.660 eV per atom (same order as the records).